(1)
This record from Alexandria describes a PBEsol-optimized structure of ScSi3Ir. The functional is SCAN.

## Properties
Size of the total moment ... 0.001 μB/cell
Formation energy (no corrections) ... 9.1 eV per formula unit
D(E_F) ... 3.942 states/eV/cell

Cell: 4.666 4.666 4.666 Å, 90.00 90.00 90.00°
Sites, in units of the cell vectors:
Si1 0.000 0.000 0.500
Si2 0.500 0.000 0.000
Si3 0.000 0.500 0.000
Ir1 0.500 0.500 0.500
Sc1 0.000 0.000 0.000

---

(2)
This record from Alexandria describes a PBEsol-optimized structure of In3AsS. The functional is SCAN.

## Properties
Size of the total moment ... 0.000 μB/cell
Formation energy (no corrections) ... 1.7 eV per formula unit
D(E_F) ... 2.304 states/eV/cell

Cell: 5.326 5.326 5.326 Å, 90.00 90.00 90.00°
Sites, in units of the cell vectors:
As1 0.000 0.000 0.000
In1 0.000 0.500 0.000
In2 0.000 0.000 0.500
In3 0.500 0.000 0.000
S1 0.500 0.500 0.500

---

(3)
This record from Alexandria describes a PBEsol-optimized structure of HfTeCN2. The functional is SCAN.

## Properties
Size of the total moment ... 0.000 μB/cell
Formation energy (no corrections) ... 9.4 eV per formula unit
D(E_F) ... 2.247 states/eV/cell

Cell: 3.925 3.925 4.149 Å, 90.00 90.00 90.00°
Sites, in units of the cell vectors:
Hf1 0.500 0.500 0.500
Te1 0.000 0.000 0.500
C1 0.000 0.000 0.000
N1 0.500 0.000 0.000
N2 0.000 0.500 0.000